Record 1
A plane-wave DFT calculation with PBE was carried out for an optimized crystal structure of Ta2Sb.

Cell: 5.3334 5.3334 6.7618 Å, 76.34 76.34 39.10°
With the nearest neighbours (Å) after each atom.
Positions (direct):
Ta  0.5999  0.5999  0.2466  5 Sb 2.79-2.98, 4 Ta 2.94-3.12
Ta  0.6639  0.6639  0.7018  4 Sb 2.83-2.87, 5 Ta 2.92-2.95
Ta  0.9642  0.9642  0.5825  4 Sb 2.91-3.25, 7 Ta 2.92-3.07
Ta  0.3046  0.3046  0.9318  4 Sb 2.81-2.99, 6 Ta 2.95-3.12
Sb  0.0070  0.0070  0.9927  8 Ta 2.79-2.92
Sb  0.2936  0.2936  0.3779  8 Ta 2.87-3.04

Calculated values
ΔE_f (raw)   9 meV per atom
SG   No. 8
DFT total energy   -0.3406 hartree per atom


Record 2
A plane-wave DFT calculation with PBE was carried out for an optimized crystal structure of TaSb3.

Cell: 3.5356 3.5356 7.5115 Å, 90.00 90.00 90.00°
With the nearest neighbours (Å) after each atom.
Positions (direct):
Ta  0.5000  0.5000  0.7500  8 Sb 2.95
Sb  0.0000  0.0000  0.5411  4 Ta 2.95, 1 Sb 3.14
Sb  0.0000  0.0000  0.9589  4 Ta 2.95, 1 Sb 3.14
Sb  0.5000  0.5000  0.2500  12 Sb 3.32-3.54

Calculated values
Energy relative to the lowest polymorph listed for this composition   27 kJ/mol of formula units
ΔE_f (raw)   151 meV per atom
SG   No. 123
DFT total energy   -0.2170 hartree per atom


Record 3
A plane-wave DFT calculation with PBE was carried out for an optimized crystal structure of Ta3Sb.

Cell: 3.5486 3.5486 6.0361 Å, 90.00 90.00 90.00°
With the nearest neighbours (Å) after each atom.
Positions (direct):
Ta  0.5000  0.5000  0.7429  6 Ta 2.91-3.10, 4 Sb 2.95
Ta  0.0000  0.0000  0.5000  8 Ta 2.91, 2 Sb 3.02
Ta  0.5000  0.5000  0.2571  6 Ta 2.91-3.10, 4 Sb 2.95
Sb  0.0000  0.0000  0.0000  10 Ta 2.95-3.02

Calculated values
Energy relative to the lowest polymorph listed for this composition   29 kJ/mol of formula units
ΔE_f (raw)   -24 meV per atom
SG   No. 123
DFT total energy   -0.3655 hartree per atom


Record 4
A plane-wave DFT calculation with PBE was carried out for an optimized crystal structure of TaSb.

Cell: 8.5187 8.5187 8.5187 Å, 90.00 90.00 90.00°
With the nearest neighbours (Å) after each atom.
Positions (direct):
Ta  0.8839  0.1161  0.1161  3 Ta 2.80, 4 Sb 2.80
Ta  0.8839  0.8839  0.8839  3 Ta 2.80, 4 Sb 2.80
Ta  0.6161  0.6161  0.3839  3 Ta 2.80, 4 Sb 2.80
Ta  0.1161  0.8839  0.1161  3 Ta 2.80, 4 Sb 2.80
Ta  0.6161  0.3839  0.6161  3 Ta 2.80, 4 Sb 2.80
Ta  0.3839  0.3839  0.3839  3 Ta 2.80, 4 Sb 2.80
Ta  0.1161  0.1161  0.8839  3 Ta 2.80, 4 Sb 2.80
Ta  0.3839  0.6161  0.6161  3 Ta 2.80, 4 Sb 2.80
Sb  0.6941  0.6941  0.6941  4 Ta 2.80
Sb  0.8059  0.1941  0.8059  4 Ta 2.80
Sb  0.8059  0.8059  0.1941  4 Ta 2.80
Sb  0.6941  0.3059  0.3059  4 Ta 2.80
Sb  0.3059  0.3059  0.6941  4 Ta 2.80
Sb  0.3059  0.6941  0.3059  4 Ta 2.80
Sb  0.1941  0.1941  0.1941  4 Ta 2.80
Sb  0.1941  0.8059  0.8059  4 Ta 2.80

Calculated values
ΔE_f (raw)   616 meV per atom
SG   No. 217
DFT total energy   -0.2709 hartree per atom


Record 5
A plane-wave DFT calculation with PBE was carried out for an optimized crystal structure of TaSb2.

Cell: 6.8868 6.8868 6.8868 Å, 90.00 90.00 90.00°
With the nearest neighbours (Å) after each atom.
Positions (direct):
Sb  0.6252  0.8748  0.8748  3 Ta 2.85, 1 Sb 2.99
Sb  0.1252  0.8748  0.6252  3 Ta 2.85, 1 Sb 2.99
Sb  0.3748  0.3748  0.6252  3 Ta 2.85, 1 Sb 2.99
Sb  0.3748  0.1252  0.1252  3 Ta 2.85, 1 Sb 2.99
Sb  0.8748  0.1252  0.3748  3 Ta 2.85, 1 Sb 2.99
Sb  0.8748  0.3748  0.8748  3 Ta 2.85, 1 Sb 2.99
Sb  0.1252  0.6252  0.1252  3 Ta 2.85, 1 Sb 2.99
Sb  0.6252  0.6252  0.3748  3 Ta 2.85, 1 Sb 2.99
Ta  0.0000  0.0000  0.0000  6 Sb 2.85
Ta  0.5000  0.0000  0.5000  6 Sb 2.85
Ta  0.5000  0.5000  0.0000  6 Sb 2.85
Ta  0.0000  0.5000  0.5000  6 Sb 2.85

Calculated values
ΔE_f (raw)   484 meV per atom
SG   No. 205
DFT total energy   -0.2284 hartree per atom


Record 6
A plane-wave DFT calculation with PBE was carried out for an optimized crystal structure of TaSb3.

Cell: 5.0958 5.0958 5.0958 Å, 60.00 60.00 60.00°
With the nearest neighbours (Å) after each atom.
Positions (direct):
Sb  0.2500  0.2500  0.2500  8 Sb 3.12
Sb  0.5000  0.5000  0.5000  4 Ta 3.12, 4 Sb 3.12
Sb  0.0000  0.0000  0.0000  4 Sb 3.12, 4 Ta 3.12
Ta  0.7500  0.7500  0.7500  8 Sb 3.12

Calculated values
Energy relative to the lowest polymorph listed for this composition   171 kJ/mol of formula units
ΔE_f (raw)   525 meV per atom
SG   No. 225
DFT total energy   -0.2032 hartree per atom


> DFT total energy of number 4 (TaSb)?

-0.2709 hartree per atom